Density functional theory data (PBE) for ZrGa3Ir after structural relaxation.

Calculated values
The calculation puts the formation energy at 14 kJ/mol of atoms. The calculation puts the total energy at -5.152 eV per atom.

abc: 4.723 4.723 4.723
angles: 90.00 90.00 90.00
Space group Pm-3m (No. 221)
Symmetry-distinct sites (fractional):
Zr: 0.000 0.000 0.000
Ga: 0.000 0.500 0.500
Ir: 0.500 0.500 0.500

***

Density functional theory data (PBE) for Cr2CoPb after structural relaxation.

Calculated values
The calculation puts the formation energy at 47 kJ/mol of atoms. The calculation puts the total energy at -7.024 eV per atom.

abc: 3.165 3.165 6.091
angles: 90.00 90.00 90.00
Space group P4mm (No. 99)
Symmetry-distinct sites (fractional):
Cr: 0.000 0.000 0.000
Cr: 0.500 0.500 0.193
Co: 0.000 0.000 0.429
Pb: 0.500 0.500 0.683

***

Density functional theory data (PBE) for Co2AsRh after structural relaxation.

Calculated values
The calculation puts the formation energy at 2 kJ/mol of atoms. The calculation puts the total energy at -6.533 eV per atom.

abc: 2.765 3.852 5.027
angles: 90.00 105.24 90.00
Space group P2/m (No. 10)
Symmetry-distinct sites (fractional):
Co: 0.124 0.000 0.261
As: 0.500 0.500 0.500
Rh: 0.500 0.500 0.000

***

Density functional theory data (PBE) for YHgW after structural relaxation.

Calculated values
The calculation puts the formation energy at 53 kJ/mol of atoms. The calculation puts the total energy at -6.019 eV per atom.

abc: 5.0415 5.0415 2.9276
angles: 90.00 90.00 120.00
Space group P-6m2 (No. 187)
Symmetry-distinct sites (fractional):
Y: 0.0000 0.0000 0.0000
Hg: 0.6667 0.3333 0.5000
W: 0.3333 0.6667 0.5000

***

Density functional theory data (PBE) for YAsPb2 after structural relaxation.

Calculated values
The calculation puts the formation energy at -36 kJ/mol of atoms. The calculation puts the total energy at -5.002 eV per atom.

abc: 10.234 4.080 6.338
angles: 90.00 119.91 90.00
Space group Cm (No. 8)
Symmetry-distinct sites (fractional):
Y: 0.000 0.000 0.000
As: 0.198 0.500 0.981
Pb: 0.215 0.000 0.628
Pb: 0.409 0.000 0.349

***

Density functional theory data (PBE) for ZrInAgI6 after structural relaxation.

Calculated values
The calculation puts the total energy at -3.234 eV per atom. The formation energy without anion corrections comes out at -5.7 eV per formula unit.

abc: 7.7351 7.7351 14.7148
angles: 90.00 90.00 120.00
Space group P-31c (No. 163)
Symmetry-distinct sites (fractional):
Zr: 0.3333 0.6667 0.2500
In: 0.0000 0.0000 0.0000
Ag: 0.3333 0.6667 0.7500
I: 0.0172 0.3755 0.1360